A plane-wave DFT calculation with PBE was carried out for a geometry-optimized Th3Ga4Au4 structure. Values from VASP.

Cell and atoms, written as Quantum ESPRESSO input:
```
&SYSTEM
  ibrav = 0, nat = 11, ntyp = 3
/
ATOMIC_SPECIES
Th 232.04 Th.upf
Ga 69.72 Ga.upf
Au 196.97 Au.upf
ATOMIC_POSITIONS angstrom
Th 0.000 0.000 0.000
Th 2.037 0.000 9.298
Th 0.000 2.260 3.890
Ga 2.037 0.000 5.069
Ga 0.000 0.000 11.930
Ga 0.000 0.000 14.445
Ga 0.000 2.260 8.119
Au 2.037 0.000 2.509
Au 0.000 0.000 6.735
Au 0.000 0.000 19.640
Au 0.000 2.260 10.679
CELL_PARAMETERS angstrom
-2.037 2.260 13.188
2.037 -2.260 13.188
2.037 2.260 -13.188
```

Summary:
raw total energy: -4.928 eV/atom
DOS(E_F): 8.52 states/eV/cell
ΔE_f: -0.61 eV/atom